PBE with a Hubbard U Ba2Pu3NiO12, relaxed; space group = R-3m, No. 166; E_tot = -8.501 eV/atom
1.0
3.964 2.288 5.727
-3.964 2.288 5.727
0.000 -4.577 5.727
Ba Pu Ni O
2 3 1 12
Direct
0.164 0.164 0.164
0.836 0.836 0.836
0.000 0.500 0.500
0.500 0.000 0.500
0.500 0.500 0.000
0.500 0.500 0.500
0.168 0.168 0.540
0.168 0.540 0.168
0.188 0.564 0.564
0.436 0.436 0.812
0.436 0.812 0.436
0.460 0.832 0.832
0.540 0.168 0.168
0.564 0.188 0.564
0.564 0.564 0.188
0.812 0.436 0.436
0.832 0.460 0.832
0.832 0.832 0.460